Entry 1:
CaPaP | PBE | optimized geometry

The structure in extended XYZ format:
```
3
Lattice="-5.6575 3.6029 1.3418 -1.7697 -3.1486 0.9929 1.8727 1.9849 2.5661" Properties=species:S:1:pos:R:3 pbc="T T T"
P -0.0369 0.0235 0.0088
Pa -0.7628 1.1789 2.3788
Ca -4.7548 1.2368 2.5133
```

- size of the total moment (μB/atom) = 0.255
- offset from the most stable computed form (meV per atom) = 0
- symmetry = P3m1 (156)
- formation enthalpy at 0 K (eV/atom) = -0.446

Entry 2:
K2CdBi | PBE | optimized geometry

The structure in extended XYZ format:
```
4
Lattice="-0.3536 3.0897 -2.1676 -3.7719 -0.2138 0.3105 0.3563 5.9533 8.4279" Properties=species:S:1:pos:R:3 pbc="T T T"
Bi -1.8846 4.4146 3.2854
K 0.0922 1.5408 2.1813
K 0.2641 4.4125 6.2466
Cd -2.0628 1.4379 -0.9285
```

- size of the total moment (μB/atom) = 0.000
- offset from the most stable computed form (meV per atom) = 101
- symmetry = P4/mmm (123)
- formation enthalpy at 0 K (eV/atom) = -0.151

Q: Which value of size of the total moment does entry 2 give?
A: 0.000 μB/atom